KTaSb: optimized geometry, PBE.

The value obtained for the uncorrected formation energy is 0.50 eV per atom. The calculation puts the calculated total energy at -5.192 eV/atom.

Lattice parameters (Å, degrees): 8.5879 8.4032 3.1522 82.63 76.03 21.35
Last column: nearest neighbours and their distance in Å.
Fractional coordinates of all 3 atoms:
K (0.0013, 0.0013, 0.9987)  4 K 3.15, 2 Sb 3.52
Ta (0.3144, 0.3144, 0.6856)  2 Sb 2.82, 4 Ta 3.15
Sb (0.6843, 0.6843, 0.3157)  2 Ta 2.82, 4 Sb 3.15

***

AsSe2SBr: optimized geometry, PBE.

The value obtained for the uncorrected formation energy is 0.77 eV per atom. The calculation puts the calculated total energy at -2.709 eV/atom.

Lattice parameters (Å, degrees): 5.0918 5.0918 5.2054 90.00 90.00 90.00
Last column: nearest neighbours and their distance in Å.
Fractional coordinates of all 5 atoms:
Br (0.0000, 0.0000, 0.5000)  2 As 2.60
Se (0.5000, 0.0000, 0.0000)  2 As 2.55
Se (0.0000, 0.5000, 0.0000)  2 As 2.55
S (0.5000, 0.5000, 0.5000)  4 Br 3.60, 8 Se 3.64
As (0.0000, 0.0000, 0.0000)  4 Se 2.55, 2 Br 2.60

***

V4GaCo: optimized geometry, PBE.

The calculation puts the calculated total energy at -7.081 eV/atom. The formation energy is 66.3 kJ per mole of atoms.

Lattice parameters (Å, degrees): 2.4747 6.2543 6.2540 88.56 90.00 90.00
Last column: nearest neighbours and their distance in Å.
Fractional coordinates of all 6 atoms:
V (0.0000, 0.2272, 0.2273)  2 Co 2.38, 1 Ga 2.44, 2 V 2.47
V (0.0000, 0.7728, 0.7727)  2 Co 2.38, 1 Ga 2.44, 2 V 2.47
V (0.5000, 0.7522, 0.2477)  1 Co 2.16
V (0.5000, 0.2478, 0.7523)  1 Co 2.16
Ga (0.0000, 0.5000, 0.5000)  6 V 2.44-2.53, 2 Ga 2.47
Co (0.5000, 0.0000, 0.0000)  6 V 2.16-2.38

***

Ac4DyCd3: optimized geometry, PBE.

The calculation puts the calculated total energy at -3.151 eV/atom. The formation energy is -17.2 kJ per mole of atoms.

Lattice parameters (Å, degrees): 4.0022 5.8784 11.8372 90.00 90.00 90.00
Last column: nearest neighbours and their distance in Å.
Fractional coordinates of all 8 atoms:
Ac (0.0000, 0.5000, 0.2589)  6 Cd 3.49-3.56, 2 Dy 3.66
Ac (0.0000, 0.0000, 0.5000)  8 Cd 3.56-3.63
Ac (0.0000, 0.5000, 0.7411)  6 Cd 3.49-3.56, 2 Dy 3.66
Ac (0.0000, 0.0000, 0.0000)  4 Cd 3.51, 4 Dy 3.56
Cd (0.5000, 0.0000, 0.7563)  8 Ac 3.51-3.63
Cd (0.5000, 0.0000, 0.2437)  8 Ac 3.51-3.63
Cd (0.5000, 0.5000, 0.5000)  8 Ac 3.49-3.56
Dy (0.5000, 0.5000, 0.0000)  8 Ac 3.56-3.66

***

LaTbScCd: optimized geometry, PBE.

The calculation puts the calculated total energy at -4.317 eV/atom. The formation energy is -11.2 kJ per mole of atoms.

Lattice parameters (Å, degrees): 3.6203 3.6203 8.6574 90.00 90.00 90.00
Last column: nearest neighbours and their distance in Å.
Fractional coordinates of all 4 atoms:
Tb (0.5000, 0.5000, 0.7879)  4 Cd 3.28, 4 Tb 3.62, 4 La 3.64
Sc (0.5000, 0.5000, 0.3595)  4 Cd 3.05
La (0.0000, 0.0000, 0.0871)  4 Sc 3.48, 4 La 3.62, 4 Tb 3.64
Cd (0.0000, 0.0000, 0.5502)  4 Sc 3.05, 4 Tb 3.28

***

AcCuSnH: optimized geometry, PBE.

The calculation puts the calculated total energy at -4.380 eV/atom.

Lattice parameters (Å, degrees): 4.5562 4.5551 4.6340 90.01 90.00 120.01
Last column: nearest neighbours and their distance in Å.
Fractional coordinates of all 4 atoms:
H (0.2385, 0.4771, 0.2360)  1 Cu 1.65
Ac (0.5719, 0.1437, 0.3187)  3 H 2.66
Cu (0.2387, 0.4775, 0.8793)  1 H 1.65
Sn (0.9052, 0.8104, 0.8051)  3 Cu 2.65

***

TmScCl6: optimized geometry, PBE.

The value obtained for the uncorrected formation energy is -2.14 eV per atom. The calculation puts the calculated total energy at -4.878 eV/atom.

Lattice parameters (Å, degrees): 6.5354 6.5347 6.9790 62.08 62.08 60.01
Last column: nearest neighbours and their distance in Å.
Fractional coordinates of all 8 atoms:
Cl (0.1140, 0.3983, 0.7446)  1 Sc 2.51, 1 Tm 2.62
Cl (0.8860, 0.6017, 0.2554)  1 Sc 2.51, 1 Tm 2.62
Cl (0.3983, 0.7431, 0.7447)  1 Sc 2.51, 1 Tm 2.62
Cl (0.2569, 0.8860, 0.2554)  1 Sc 2.51, 1 Tm 2.62
Cl (0.7431, 0.1140, 0.7446)  1 Sc 2.51, 1 Tm 2.62
Cl (0.6017, 0.2569, 0.2553)  1 Sc 2.51, 1 Tm 2.62
Sc (0.5000, 0.5000, 0.5000)  6 Cl 2.51
Tm (0.0000, 0.0000, 0.0000)  6 Cl 2.62

***

Tl7PdAu4: optimized geometry, PBE.

The calculation puts the calculated total energy at -2.919 eV/atom. The formation energy is -1.3 kJ per mole of atoms.

Lattice parameters (Å, degrees): 3.9502 7.3448 12.0037 103.73 90.00 105.60
Last column: nearest neighbours and their distance in Å.
Fractional coordinates of all 12 atoms:
Au (0.9975, 0.9950, 0.9951)  6 Tl 2.88-2.95
Au (0.6995, 0.3990, 0.7988)  7 Tl 2.97-3.18
Au (0.2971, 0.5942, 0.1946)  7 Tl 3.00-3.09
Au (0.1175, 0.2350, 0.4269)  6 Tl 2.89-2.97
Tl (0.0388, 0.0776, 0.7723)  1 Pd 2.76, 3 Au 2.88-2.97
Tl (0.2682, 0.5364, 0.6479)  2 Pd 2.81, 3 Au 2.97-3.00
Tl (0.9603, 0.9205, 0.2210)  4 Au 2.89-3.00
Tl (0.3376, 0.6752, 0.9528)  5 Au 2.95-3.09
Tl (0.4924, 0.9849, 0.5005)  2 Pd 2.81, 2 Au 2.93
Tl (0.6570, 0.3140, 0.0470)  5 Au 2.95-3.18
Tl (0.7500, 0.5000, 0.3629)  1 Pd 2.82, 4 Au 2.95-3.01
Pd (0.8841, 0.7682, 0.5802)  6 Tl 2.76-2.82

***

Li3Nd2Cu12Ag: optimized geometry, PBE.

The calculation puts the calculated total energy at -3.594 eV/atom. The formation energy is 13.9 kJ per mole of atoms.

Lattice parameters (Å, degrees): 10.0264 10.0264 10.0264 35.27 35.27 35.27
Last column: nearest neighbours and their distance in Å.
Fractional coordinates of all 18 atoms:
Cu (0.4439, 0.8789, 0.8789)  4 Cu 2.47-2.64, 1 Ag 2.74
Cu (0.5863, 0.5863, 0.1962)  2 Li 2.33, 4 Cu 2.37-2.47
Cu (0.5561, 0.1211, 0.1211)  4 Cu 2.47-2.64, 1 Ag 2.74
Cu (0.8789, 0.4439, 0.8789)  4 Cu 2.47-2.64, 1 Ag 2.74
Cu (0.8038, 0.4137, 0.4137)  2 Li 2.33, 4 Cu 2.37-2.47
Cu (0.4137, 0.8038, 0.4137)  2 Li 2.33, 4 Cu 2.37-2.47
Cu (0.1962, 0.5863, 0.5863)  2 Li 2.33, 4 Cu 2.37-2.47
Cu (0.5863, 0.1962, 0.5863)  2 Li 2.33, 4 Cu 2.37-2.47
Cu (0.1211, 0.5561, 0.1211)  4 Cu 2.47-2.64, 1 Ag 2.74
Cu (0.4137, 0.4137, 0.8038)  2 Li 2.33, 4 Cu 2.37-2.47
Cu (0.1211, 0.1211, 0.5561)  4 Cu 2.47-2.64, 1 Ag 2.74
Cu (0.8789, 0.8789, 0.4439)  4 Cu 2.47-2.64, 1 Ag 2.74
Ag (0.0000, 0.0000, 0.0000)  6 Cu 2.74
Nd (0.6390, 0.6390, 0.6390)  12 Cu 3.01-3.24
Nd (0.3610, 0.3610, 0.3610)  12 Cu 3.01-3.24
Li (0.5000, 0.0000, 0.0000)  4 Cu 2.33
Li (0.0000, 0.0000, 0.5000)  4 Cu 2.33
Li (0.0000, 0.5000, 0.0000)  4 Cu 2.33

***

Dy3TaN4: optimized geometry, PBE.

The value obtained for the uncorrected formation energy is -1.54 eV per atom. The calculation puts the calculated total energy at -8.912 eV/atom.

Lattice parameters (Å, degrees): 3.3457 5.8210 5.8210 109.09 90.00 90.00
Last column: nearest neighbours and their distance in Å.
Fractional coordinates of all 8 atoms:
N (0.0000, 0.7726, 0.7726)  2 Ta 2.27, 4 Dy 2.38-2.49
N (0.5000, 0.2340, 0.7660)  1 Ta 2.22, 4 Dy 2.38
N (0.5000, 0.7660, 0.2340)  1 Ta 2.22, 4 Dy 2.38
N (0.0000, 0.2274, 0.2274)  2 Ta 2.27, 4 Dy 2.38-2.49
Dy (0.5000, 0.5000, 0.5000)  6 N 2.49-2.52
Dy (0.0000, 0.5000, 0.0000)  6 N 2.38
Dy (0.0000, 0.0000, 0.5000)  6 N 2.38
Ta (0.5000, 0.0000, 0.0000)  6 N 2.22-2.27

***

Tb3Sm6Ho2Tm: optimized geometry, PBE.

The calculation puts the calculated total energy at -4.639 eV/atom. The formation energy is 1.4 kJ per mole of atoms.

Lattice parameters (Å, degrees): 6.2101 6.2101 11.8213 95.01 95.01 119.98
Last column: nearest neighbours and their distance in Å.
Fractional coordinates of all 12 atoms:
Sm (0.0831, 0.4162, 0.2485)  2 Ho 3.56, 1 Tm 3.56, 6 Sm 3.58-3.59, 3 Tb 3.58-3.59
Sm (0.7501, 0.7501, 0.2487)  1 Tm 3.56, 2 Ho 3.56, 6 Sm 3.58-3.59, 3 Tb 3.58-3.59
Sm (0.2499, 0.2499, 0.7513)  1 Tm 3.56, 2 Ho 3.56, 6 Sm 3.58-3.59, 3 Tb 3.58-3.59
Sm (0.9169, 0.5838, 0.7515)  2 Ho 3.56, 1 Tm 3.56, 6 Sm 3.58-3.59, 3 Tb 3.58-3.59
Sm (0.4162, 0.0831, 0.2485)  2 Ho 3.56, 1 Tm 3.56, 6 Sm 3.58-3.59, 3 Tb 3.58-3.59
Sm (0.5838, 0.9169, 0.7515)  2 Ho 3.56, 1 Tm 3.56, 6 Sm 3.58-3.59, 3 Tb 3.58-3.59
Tm (0.0000, 0.0000, 0.0000)  6 Sm 3.56, 6 Ho 3.59
Tb (0.8333, 0.1667, 0.5000)  6 Sm 3.58-3.59, 6 Tb 3.58-3.59
Tb (0.1667, 0.8333, 0.5000)  6 Sm 3.58-3.59, 6 Tb 3.58-3.59
Tb (0.5000, 0.5000, 0.5000)  6 Sm 3.58-3.59, 6 Tb 3.59
Ho (0.3334, 0.6666, 0.0000)  6 Sm 3.56, 3 Ho 3.58-3.59, 3 Tm 3.59
Ho (0.6666, 0.3334, 0.0000)  6 Sm 3.56, 3 Ho 3.58-3.59, 3 Tm 3.59

***

Nb2TcAgAu: optimized geometry, PBE.

The calculation puts the calculated total energy at -6.281 eV/atom. The formation energy is 100.9 kJ per mole of atoms.

Lattice parameters (Å, degrees): 4.7273 5.1144 4.7273 90.00 90.00 90.00
Last column: nearest neighbours and their distance in Å.
Fractional coordinates of all 5 atoms:
Tc (0.0000, 0.0000, 0.0000)  4 Nb 2.36, 2 Au 2.56
Ag (0.5000, 0.5000, 0.5000)  4 Au 3.34, 8 Nb 3.48
Nb (0.5000, 0.0000, 0.0000)  2 Tc 2.36
Nb (0.0000, 0.0000, 0.5000)  2 Tc 2.36
Au (0.0000, 0.5000, 0.0000)  2 Tc 2.56

***

Please write out number 2 again, unchanged.
AsSe2SBr: optimized geometry, PBE.

The value obtained for the uncorrected formation energy is 0.77 eV per atom. The calculation puts the calculated total energy at -2.709 eV/atom.

Lattice parameters (Å, degrees): 5.0918 5.0918 5.2054 90.00 90.00 90.00
Last column: nearest neighbours and their distance in Å.
Fractional coordinates of all 5 atoms:
Br (0.0000, 0.0000, 0.5000)  2 As 2.60
Se (0.5000, 0.0000, 0.0000)  2 As 2.55
Se (0.0000, 0.5000, 0.0000)  2 As 2.55
S (0.5000, 0.5000, 0.5000)  4 Br 3.60, 8 Se 3.64
As (0.0000, 0.0000, 0.0000)  4 Se 2.55, 2 Br 2.60

***

Please write out number 6 again, unchanged.
AcCuSnH: optimized geometry, PBE.

The calculation puts the calculated total energy at -4.380 eV/atom.

Lattice parameters (Å, degrees): 4.5562 4.5551 4.6340 90.01 90.00 120.01
Last column: nearest neighbours and their distance in Å.
Fractional coordinates of all 4 atoms:
H (0.2385, 0.4771, 0.2360)  1 Cu 1.65
Ac (0.5719, 0.1437, 0.3187)  3 H 2.66
Cu (0.2387, 0.4775, 0.8793)  1 H 1.65
Sn (0.9052, 0.8104, 0.8051)  3 Cu 2.65

***

Q: The highest calculated total energy belongs to which entry?
A: AsSe2SBr